1.
Ca3Ni3Sn8: relaxed, GGA-PBE.

a = 5.0255 Å, b = 8.7095 Å, c = 8.5734 Å
α = 67.68°, β = 72.96°, γ = 73.23°
Fractional positions:
Sn: 0.5006 0.3353 0.6635
Sn: 0.6491 0.9411 0.7608
Sn: 0.8610 0.8436 0.4343
Sn: 0.1390 0.1564 0.5657
Sn: 0.3509 0.0589 0.2392
Sn: 0.4994 0.6647 0.3365
Sn: 0.1486 0.5644 0.1384
Sn: 0.8514 0.4356 0.8616
Ni: 0.6546 0.6711 0.0197
Ni: 0.3454 0.3289 0.9803
Ni: 0.0000 0.5000 0.5000
Ca: 0.7148 0.2965 0.2740
Ca: 0.2852 0.7035 0.7260
Ca: 0.0000 0.0000 0.0000

For the total magnetization, the calculation gives 0.00 μB/atom. The value obtained for the formation energy is -0.316 eV/atom. Its electronic total energy is -4.2713 eV/atom.



2.
TlNi2SbPt: relaxed, GGA-PBE.

a = 4.7248 Å, b = 5.0710 Å, c = 4.7248 Å
α = 90.00°, β = 90.00°, γ = 90.00°
Fractional positions:
Ni: 0.0000 0.0000 0.5000
Ni: 0.5000 0.0000 0.0000
Sb: 0.5000 0.5000 0.5000
Tl: 0.0000 0.0000 0.0000
Pt: 0.0000 0.5000 0.0000

For the total magnetization, the calculation gives 0.00 μB/atom. The value obtained for the formation energy without anion corrections is 1.06 eV per atom. Its electronic total energy is -3.7570 eV/atom.



3.
Sm8Dy2Sc3: relaxed, GGA-PBE.

a = 5.5705 Å, b = 7.5888 Å, c = 10.5819 Å
α = 111.01°, β = 90.01°, γ = 90.00°
Fractional positions:
Sm: 0.5000 0.6046 0.7989
Sm: 0.0003 0.8750 0.7500
Sm: 0.9998 0.3305 0.6609
Sm: 0.5000 0.3954 0.2011
Sm: 0.0002 0.6695 0.3391
Sm: 0.5000 0.8058 0.2011
Sm: 0.5000 0.1942 0.7989
Sm: 0.9997 0.1250 0.2500
Dy: 0.5004 0.7614 0.5227
Dy: 0.4996 0.2386 0.4773
Sc: 0.0000 0.2942 0.0000
Sc: 0.0000 0.7058 0.0000
Sc: 0.5000 0.0000 0.0000

For the total magnetization, the calculation gives 0.00 μB/atom. The value obtained for the excess energy over the best structure of this formula in the dataset is 0.000 eV per atom. The value obtained for the formation energy is 0.208 eV/atom. Its electronic total energy is -4.8648 eV/atom.



4.
RbBa2Y2: relaxed, GGA-PBE.

a = 11.3289 Å, b = 11.3289 Å, c = 3.9985 Å
α = 90.00°, β = 90.00°, γ = 90.00°
Site moments in Bohr magnetons follow the coordinates.
Fractional positions:
Y: 0.6041 0.1041 0.0000  0.38
Y: 0.8959 0.6041 0.0000  0.37
Y: 0.3959 0.8959 0.0000  0.38
Y: 0.1041 0.3959 0.0000  0.37
Ba: 0.1823 0.6823 0.5000  0.11
Ba: 0.8177 0.3177 0.5000  0.11
Ba: 0.3177 0.1823 0.5000  0.11
Ba: 0.6823 0.8177 0.5000  0.11
Rb: 0.0000 0.0000 0.0000  0.02
Rb: 0.5000 0.5000 0.0000  0.02

For the total magnetization, the calculation gives 0.52 μB/atom. The value obtained for the excess energy over the best structure of this formula in the dataset is 0.000 eV per atom. The value obtained for the formation energy is 0.391 eV/atom. Its electronic total energy is -3.1567 eV/atom.



5.
NaCa3Tb2Te6: relaxed, GGA-PBE.

a = 7.7428 Å, b = 7.7428 Å, c = 7.7349 Å
α = 99.63°, β = 99.63°, γ = 119.94°
Fractional positions:
Te: 0.5780 0.9177 0.7541
Te: 0.2580 0.2580 0.7551
Te: 0.9177 0.5780 0.7541
Te: 0.7420 0.7420 0.2449
Te: 0.0823 0.4220 0.2459
Te: 0.4220 0.0823 0.2459
Ca: 0.1646 0.8354 0.5000
Ca: 0.5000 0.5000 0.5000
Ca: 0.8354 0.1646 0.5000
Na: 0.0000 0.0000 0.0000
Tb: 0.3329 0.6671 0.0000
Tb: 0.6671 0.3329 0.0000

For the total magnetization, the calculation gives 0.00 μB/atom. The value obtained for the formation energy without anion corrections is -1.47 eV per atom. Its electronic total energy is -4.4224 eV/atom.



6.
Er2Au: relaxed, GGA-PBE.

a = 4.9209 Å, b = 7.0501 Å, c = 8.8674 Å
α = 90.00°, β = 90.00°, γ = 90.00°
Fractional positions:
Au: 0.7500 0.2585 0.9013
Au: 0.7500 0.7585 0.5987
Au: 0.2500 0.7415 0.0987
Au: 0.2500 0.2415 0.4013
Er: 0.7500 0.3509 0.5801
Er: 0.2500 0.0137 0.6770
Er: 0.2500 0.5137 0.8230
Er: 0.7500 0.9863 0.3230
Er: 0.2500 0.1491 0.0801
Er: 0.2500 0.6491 0.4199
Er: 0.7500 0.8509 0.9199
Er: 0.7500 0.4863 0.1770

For the total magnetization, the calculation gives 0.00 μB/atom. The value obtained for the formation energy is -0.656 eV/atom. Its electronic total energy is -4.7901 eV/atom.